VASP calculation (PBE-GGA) on a relaxed structure of TbNi2H.

E	-17.9	eV for the cell shown
crystal system	trigonal
space group	R-3m, No. 166

Cell: 2.9829 2.9829 7.1779 Å, 78.01 78.01 60.00°
Element x y z (fractional)
Tb (0.0000, 0.0000, 0.0000)
Ni (0.1241, 0.1241, 0.6276)
Ni (0.8759, 0.8759, 0.3724)
H (0.5000, 0.5000, 0.5000)

***

VASP calculation (PBE-GGA) on a relaxed structure of TbNiH3.

E	-46.0	eV for the cell shown
crystal system	monoclinic
space group	Cm, No. 8

Cell: 3.6241 4.6469 5.9443 Å, 92.35 107.77 90.00°
Element x y z (fractional)
H (0.3793, 0.2235, 0.1137)
H (0.9901, 0.9847, 0.3354)
H (0.1459, 0.4536, 0.6466)
H (0.3741, 0.7294, 0.1039)
H (0.7590, 0.2255, 0.8726)
H (0.5879, 0.7512, 0.5311)
Ni (0.4811, 0.9828, 0.3179)
Ni (0.6439, 0.4311, 0.6430)
Tb (0.2012, 0.9730, 0.7571)
Tb (0.9358, 0.4693, 0.2268)

***

VASP calculation (PBE-GGA) on a relaxed structure of Tb12Ni3H5.

E	-379.3	eV for the cell shown
crystal system	cubic
space group	Ia-3d, No. 230

Cell: 12.9936 12.9936 12.9936 Å, 109.47 109.47 109.47°
Element x y z (fractional)
Tb (0.5263, 0.2161, 0.1190)
Tb (0.2161, 0.6898, 0.0971)
Tb (0.8102, 0.9073, 0.0263)
Tb (0.9029, 0.0927, 0.6190)
Tb (0.7839, 0.3102, 0.9029)
Tb (0.4073, 0.0263, 0.3102)
Tb (0.9073, 0.0971, 0.8810)
Tb (0.0971, 0.1898, 0.2161)
Tb (0.8810, 0.5971, 0.9073)
Tb (0.1898, 0.0971, 0.7161)
Tb (0.0971, 0.9073, 0.3810)
Tb (0.4073, 0.3810, 0.5971)
Tb (0.4737, 0.6898, 0.0927)
Tb (0.6898, 0.4737, 0.5927)
Tb (0.9737, 0.3810, 0.2839)
Tb (0.3102, 0.7839, 0.4029)
Tb (0.9029, 0.8102, 0.7839)
Tb (0.5927, 0.9737, 0.6898)
Tb (0.6190, 0.5927, 0.9029)
Tb (0.3102, 0.5263, 0.4073)
Tb (0.3810, 0.9737, 0.7839)
Tb (0.0927, 0.1898, 0.4737)
Tb (0.7161, 0.5971, 0.1898)
Tb (0.2161, 0.5263, 0.6190)
Tb (0.5927, 0.6190, 0.4029)
Tb (0.4029, 0.2839, 0.3102)
Tb (0.0263, 0.6190, 0.7161)
Tb (0.1190, 0.7161, 0.5263)
Tb (0.0927, 0.9029, 0.1190)
Tb (0.0263, 0.4073, 0.8102)
Tb (0.7839, 0.4737, 0.3810)
Tb (0.9737, 0.5927, 0.1898)
Tb (0.4029, 0.1190, 0.5927)
Tb (0.5263, 0.3102, 0.9073)
Tb (0.9073, 0.8102, 0.5263)
Tb (0.2839, 0.8810, 0.9737)
Tb (0.2839, 0.4029, 0.8102)
Tb (0.1190, 0.4029, 0.0927)
Tb (0.5971, 0.7161, 0.6898)
Tb (0.4737, 0.7839, 0.8810)
Tb (0.6190, 0.0263, 0.2161)
Tb (0.1898, 0.0927, 0.9737)
Tb (0.8102, 0.9029, 0.2839)
Tb (0.8810, 0.2839, 0.4737)
Tb (0.6898, 0.2161, 0.5971)
Tb (0.5971, 0.8810, 0.4073)
Tb (0.3810, 0.4073, 0.0971)
Tb (0.7161, 0.1190, 0.0263)
H (0.2500, 0.3750, 0.6250)
H (0.6250, 0.7500, 0.8750)
H (0.6250, 0.8750, 0.2500)
H (0.1250, 0.7500, 0.3750)
H (0.3750, 0.2500, 0.1250)
H (0.0000, 0.5000, 0.0000)
H (0.0000, 0.0000, 0.5000)
H (0.2500, 0.8750, 0.1250)
H (0.0000, 0.0000, 0.0000)
H (0.7500, 0.1250, 0.8750)
H (0.5000, 0.0000, 0.0000)
H (0.5000, 0.5000, 0.0000)
H (0.3750, 0.1250, 0.7500)
H (0.5000, 0.5000, 0.5000)
H (0.1250, 0.3750, 0.2500)
H (0.0000, 0.5000, 0.5000)
H (0.5000, 0.0000, 0.5000)
H (0.8750, 0.6250, 0.7500)
H (0.8750, 0.2500, 0.6250)
H (0.7500, 0.6250, 0.3750)
Ni (0.2500, 0.1250, 0.3750)
Ni (0.1250, 0.8750, 0.7500)
Ni (0.7500, 0.8750, 0.6250)
Ni (0.6250, 0.3750, 0.7500)
Ni (0.8750, 0.1250, 0.2500)
Ni (0.3750, 0.7500, 0.6250)
Ni (0.7500, 0.3750, 0.1250)
Ni (0.3750, 0.6250, 0.2500)
Ni (0.6250, 0.2500, 0.3750)
Ni (0.2500, 0.6250, 0.8750)
Ni (0.1250, 0.2500, 0.8750)
Ni (0.8750, 0.7500, 0.1250)

***

VASP calculation (PBE-GGA) on a relaxed structure of Tb3Ni5H12.

E	-354.5	eV for the cell shown
crystal system	cubic
space group	Ia-3d, No. 230

Cell: 9.7632 9.7632 9.7632 Å, 109.47 109.47 109.47°
Element x y z (fractional)
Ni (0.0000, 0.5000, 0.5000)
Ni (0.1250, 0.7500, 0.3750)
Ni (0.6250, 0.8750, 0.2500)
Ni (0.5000, 0.0000, 0.0000)
Ni (0.8750, 0.6250, 0.7500)
Ni (0.5000, 0.5000, 0.0000)
Ni (0.0000, 0.0000, 0.5000)
Ni (0.7500, 0.1250, 0.8750)
Ni (0.0000, 0.0000, 0.0000)
Ni (0.7500, 0.6250, 0.3750)
Ni (0.5000, 0.5000, 0.5000)
Ni (0.5000, 0.0000, 0.5000)
Ni (0.8750, 0.2500, 0.6250)
Ni (0.1250, 0.3750, 0.2500)
Ni (0.2500, 0.3750, 0.6250)
Ni (0.3750, 0.2500, 0.1250)
Ni (0.6250, 0.7500, 0.8750)
Ni (0.3750, 0.1250, 0.7500)
Ni (0.0000, 0.5000, 0.0000)
Ni (0.2500, 0.8750, 0.1250)
H (0.6780, 0.1871, 0.5828)
H (0.6871, 0.1043, 0.0091)
H (0.8129, 0.4909, 0.3957)
H (0.9048, 0.8220, 0.5091)
H (0.9172, 0.0952, 0.6043)
H (0.1871, 0.6780, 0.0828)
H (0.5952, 0.6043, 0.4172)
H (0.8220, 0.9048, 0.0091)
H (0.0952, 0.9172, 0.1043)
H (0.1871, 0.5091, 0.6043)
H (0.4048, 0.3957, 0.5828)
H (0.1043, 0.6871, 0.5091)
H (0.4172, 0.1043, 0.5952)
H (0.8957, 0.3129, 0.4909)
H (0.4909, 0.8129, 0.8957)
H (0.0828, 0.1780, 0.1871)
H (0.6043, 0.5952, 0.9172)
H (0.9909, 0.3957, 0.3129)
H (0.1043, 0.4172, 0.0952)
H (0.4909, 0.6780, 0.0952)
H (0.9172, 0.8220, 0.8129)
H (0.3129, 0.8957, 0.9909)
H (0.8129, 0.3220, 0.9172)
H (0.3957, 0.9909, 0.8129)
H (0.1780, 0.0952, 0.9909)
H (0.5828, 0.6871, 0.6780)
H (0.0091, 0.6043, 0.6871)
H (0.8957, 0.5828, 0.9048)
H (0.9048, 0.0828, 0.8957)
H (0.4048, 0.0091, 0.3220)
H (0.3220, 0.8129, 0.4172)
H (0.0952, 0.1780, 0.4909)
H (0.5091, 0.1871, 0.1043)
H (0.0091, 0.4048, 0.8220)
H (0.5091, 0.3220, 0.9048)
H (0.3129, 0.4172, 0.8220)
H (0.0828, 0.9048, 0.3957)
H (0.8220, 0.9172, 0.3129)
H (0.6043, 0.0091, 0.1871)
H (0.1780, 0.0828, 0.6871)
H (0.5952, 0.9909, 0.6780)
H (0.3957, 0.4048, 0.0828)
H (0.4172, 0.3129, 0.3220)
H (0.6871, 0.5828, 0.1780)
H (0.9909, 0.5952, 0.1780)
H (0.5828, 0.8957, 0.4048)
H (0.6780, 0.4909, 0.5952)
H (0.3220, 0.5091, 0.4048)
Tb (0.7500, 0.8750, 0.6250)
Tb (0.7500, 0.3750, 0.1250)
Tb (0.3750, 0.6250, 0.2500)
Tb (0.1250, 0.2500, 0.8750)
Tb (0.2500, 0.6250, 0.8750)
Tb (0.3750, 0.7500, 0.6250)
Tb (0.8750, 0.7500, 0.1250)
Tb (0.6250, 0.2500, 0.3750)
Tb (0.1250, 0.8750, 0.7500)
Tb (0.8750, 0.1250, 0.2500)
Tb (0.2500, 0.1250, 0.3750)
Tb (0.6250, 0.3750, 0.7500)

***

VASP calculation (PBE-GGA) on a relaxed structure of TbNiH3.

E	-90.0	eV for the cell shown
crystal system	monoclinic
space group	P2_1/m, No. 11

Cell: 7.0761 6.2293 5.1888 Å, 90.00 90.00 124.55°
Element x y z (fractional)
H (0.0126, 0.5261, 0.2491)
H (0.1188, 0.2382, 0.2500)
H (0.2500, 0.0000, 0.4999)
H (0.5126, 0.5261, 0.2509)
H (0.6188, 0.2382, 0.2500)
H (0.7500, 0.0000, 0.0001)
H (0.4874, 0.4739, 0.7491)
H (0.9874, 0.4739, 0.7509)
H (0.2500, 0.0000, 0.9999)
H (0.8812, 0.7618, 0.7500)
H (0.7500, 0.0000, 0.5001)
H (0.3812, 0.7618, 0.7500)
Ni (0.1430, 0.7848, 0.7497)
Ni (0.6430, 0.7848, 0.7503)
Ni (0.3570, 0.2152, 0.2497)
Ni (0.8570, 0.2152, 0.2503)
Tb (0.8717, 0.7447, 0.2500)
Tb (0.6283, 0.2553, 0.7500)
Tb (0.1283, 0.2553, 0.7500)
Tb (0.3717, 0.7447, 0.2500)

***

VASP calculation (PBE-GGA) on a relaxed structure of Tb2NiH.

energy above the most stable polymorph in this dataset	19.4	kJ/mol of atoms
E	-18.8	eV for the cell shown
crystal system	tetragonal
space group	P4/mmm, No. 123

Cell: 3.2423 3.2423 6.8772 Å, 90.00 90.00 90.00°
Element x y z (fractional)
H (0.5000, 0.5000, 0.5000)
Tb (0.0000, 0.0000, 0.7493)
Tb (0.0000, 0.0000, 0.2507)
Ni (0.5000, 0.5000, 0.0000)

***

VASP calculation (PBE-GGA) on a relaxed structure of TbNi5H7.

E	-59.5	eV for the cell shown
crystal system	monoclinic
space group	Cm, No. 8

Cell: 5.3967 5.0117 5.0117 Å, 114.59 71.95 71.95°
Element x y z (fractional)
H (0.6088, 0.7330, 0.2179)
H (0.1744, 0.5989, 0.2022)
H (0.0539, 0.7272, 0.7272)
H (0.1744, 0.2022, 0.5989)
H (0.2536, 0.0672, 0.0672)
H (0.6335, 0.6221, 0.6222)
H (0.6088, 0.2179, 0.7330)
Ni (0.9819, 0.5456, 0.9946)
Ni (0.4526, 0.6506, 0.9673)
Ni (0.4526, 0.9673, 0.6506)
Ni (0.9819, 0.9946, 0.5456)
Ni (0.0047, 0.4502, 0.4502)
Tb (0.6187, 0.2231, 0.2231)

***

VASP calculation (PBE-GGA) on a relaxed structure of TbNi6H8.

E	-68.3	eV for the cell shown
crystal system	trigonal
space group	R-3, No. 148

Cell: 4.9233 4.9233 4.9233 Å, 97.11 97.11 97.11°
Element x y z (fractional)
H (0.6910, 0.6910, 0.6910)
H (0.8314, 0.2242, 0.6317)
H (0.6317, 0.8314, 0.2242)
H (0.3090, 0.3090, 0.3090)
H (0.7758, 0.3683, 0.1686)
H (0.2242, 0.6317, 0.8314)
H (0.1686, 0.7758, 0.3683)
H (0.3683, 0.1686, 0.7758)
Ni (0.5952, 0.1520, 0.3369)
Ni (0.4048, 0.8480, 0.6631)
Ni (0.1520, 0.3369, 0.5952)
Ni (0.8480, 0.6631, 0.4048)
Ni (0.6631, 0.4048, 0.8480)
Ni (0.3369, 0.5952, 0.1520)
Tb (0.0000, 0.0000, 0.0000)

***

VASP calculation (PBE-GGA) on a relaxed structure of Tb2NiH.

energy above the most stable polymorph in this dataset	9.5	kJ/mol of atoms
E	-19.2	eV for the cell shown
crystal system	monoclinic
space group	Cm, No. 8

Cell: 3.6491 3.6491 7.0120 Å, 74.74 74.74 59.90°
Element x y z (fractional)
Tb (0.0841, 0.0841, 0.7475)
Tb (0.2492, 0.2492, 0.2523)
Ni (0.6670, 0.6670, 0.9991)
H (0.4996, 0.4996, 0.5011)

***

VASP calculation (PBE-GGA) on a relaxed structure of TbNi2H7.

E	-41.5	eV for the cell shown
crystal system	orthorhombic
space group	Cmmm, No. 65

Cell: 3.4973 4.8983 4.8983 Å, 120.96 90.00 90.00°
Element x y z (fractional)
H (0.5000, 0.6814, 0.9621)
H (0.5000, 0.5000, 0.5000)
H (0.0000, 0.3190, 0.6810)
H (0.5000, 0.0379, 0.3186)
H (0.5000, 0.3186, 0.0379)
H (0.0000, 0.6810, 0.3190)
H (0.5000, 0.9621, 0.6814)
Tb (0.0000, 0.0000, 0.0000)
Ni (0.5000, 0.6892, 0.3108)
Ni (0.5000, 0.3108, 0.6892)

***

VASP calculation (PBE-GGA) on a relaxed structure of TbNi3H.

E	-26.5	eV for the cell shown
crystal system	cubic
space group	Pm-3m, No. 221

Cell: 3.8955 3.8955 3.8955 Å, 90.00 90.00 90.00°
Element x y z (fractional)
Tb (0.5000, 0.5000, 0.5000)
Ni (0.5000, 0.0000, 0.0000)
Ni (0.0000, 0.0000, 0.5000)
Ni (0.0000, 0.5000, 0.0000)
H (0.0000, 0.0000, 0.0000)

***

VASP calculation (PBE-GGA) on a relaxed structure of TbZnNi2H.

E	-45.4	eV for the cell shown
crystal system	orthorhombic
space group	Cmcm, No. 63

Cell: 3.7789 5.4219 6.9713 Å, 90.00 90.00 110.39°
Element x y z (fractional)
Ni (0.8431, 0.6862, 0.4439)
Ni (0.8431, 0.6862, 0.0561)
Ni (0.1569, 0.3138, 0.5561)
Ni (0.1569, 0.3138, 0.9439)
Zn (0.2768, 0.5537, 0.2500)
Zn (0.7232, 0.4463, 0.7500)
H (0.0000, 0.0000, 0.5000)
H (0.0000, 0.0000, 0.0000)
Tb (0.4418, 0.8835, 0.7500)
Tb (0.5582, 0.1165, 0.2500)

***

VASP calculation (PBE-GGA) on a relaxed structure of TcNi2H.

energy above the most stable polymorph in this dataset	28.1	kJ/mol of atoms
E	-48.2	eV for the cell shown
crystal system	tetragonal
space group	I-42d, No. 122

Cell: 5.0296 5.0296 4.7844 Å, 58.29 58.29 90.00°
Element x y z (fractional)
Tc (0.7500, 0.2500, 0.5000)
Tc (0.0000, 0.0000, 0.0000)
Ni (0.8750, 0.7107, 0.7500)
Ni (0.3750, 0.5393, 0.7500)
Ni (0.2893, 0.6250, 0.2500)
Ni (0.4607, 0.1250, 0.2500)
H (0.2500, 0.7500, 0.5000)
H (0.5000, 0.5000, 0.0000)

***

VASP calculation (PBE-GGA) on a relaxed structure of Tc3NiH.

energy above the most stable polymorph in this dataset	0.0	kJ/mol of atoms
E	-39.8	eV for the cell shown
crystal system	cubic
space group	Pm-3m, No. 221

Cell: 3.8535 3.8535 3.8535 Å, 90.00 90.00 90.00°
Element x y z (fractional)
Tc (0.5000, 0.0000, 0.0000)
Tc (0.0000, 0.0000, 0.5000)
Tc (0.0000, 0.5000, 0.0000)
H (0.0000, 0.0000, 0.0000)
Ni (0.5000, 0.5000, 0.5000)